1.
Sr20P12Br3ClO48, single point on PBEsol structure, DFT meta-GGA SCAN; space group = P-1; total moment = 0.00 μB/atom; final energy = -14.323 eV/atom; energy relative to the elements, uncorrected = -3.1830 eV/atom; D(E_F) = 0.0 states/eV/f.u.
1.0
9.921 0.000 0.000
4.961 11.193 0.000
4.960 1.999 11.013
Sr P Br Cl O
20 12 3 1 48
direct
0.006 0.494 0.247
0.007 0.993 0.744
0.252 0.626 0.380
0.256 0.128 0.879
0.259 0.251 0.497
0.263 0.747 0.997
0.332 0.668 0.666
0.333 0.416 0.917
0.333 0.916 0.418
0.334 0.168 0.166
0.666 0.832 0.834
0.667 0.084 0.582
0.667 0.584 0.083
0.668 0.332 0.334
0.737 0.253 0.003
0.741 0.749 0.503
0.744 0.872 0.121
0.748 0.374 0.620
0.993 0.007 0.256
0.994 0.506 0.753
0.036 0.670 0.921
0.037 0.171 0.421
0.371 0.893 0.144
0.372 0.393 0.643
0.408 0.440 0.189
0.408 0.939 0.689
0.592 0.061 0.311
0.592 0.560 0.811
0.628 0.607 0.357
0.629 0.107 0.856
0.963 0.829 0.579
0.964 0.330 0.079
0.000 0.000 0.000
0.000 0.250 0.750
0.000 0.750 0.250
0.000 0.500 0.500
0.090 0.285 0.361
0.092 0.107 0.534
0.092 0.607 0.034
0.092 0.783 0.859
0.122 0.580 0.830
0.125 0.082 0.329
0.142 0.796 0.545
0.143 0.294 0.044
0.265 0.008 0.084
0.265 0.507 0.584
0.266 0.832 0.259
0.268 0.333 0.759
0.338 0.884 0.635
0.341 0.384 0.133
0.353 0.406 0.329
0.359 0.080 0.653
0.359 0.580 0.153
0.359 0.905 0.829
0.410 0.109 0.358
0.411 0.608 0.856
0.465 0.937 0.188
0.467 0.438 0.685
0.482 0.304 0.553
0.482 0.804 0.054
0.518 0.196 0.946
0.518 0.696 0.447
0.533 0.562 0.315
0.535 0.063 0.812
0.589 0.392 0.144
0.590 0.891 0.642
0.641 0.095 0.171
0.641 0.420 0.847
0.641 0.920 0.347
0.647 0.594 0.671
0.659 0.616 0.867
0.662 0.116 0.365
0.732 0.667 0.241
0.734 0.168 0.741
0.735 0.493 0.416
0.735 0.992 0.916
0.857 0.706 0.956
0.858 0.204 0.455
0.875 0.918 0.671
0.878 0.420 0.170
0.908 0.217 0.141
0.908 0.393 0.966
0.908 0.893 0.466
0.910 0.715 0.639


2.
TlBr2ClO, single point on PBEsol structure, DFT meta-GGA SCAN; space group = P4/mmm; total moment = 0.44 μB/atom; final energy = -24.799 eV/atom; energy relative to the elements, uncorrected = 0.2982 eV/atom; D(E_F) = 5.9 states/eV/f.u.
1.0
5.491 0.000 0.000
0.000 5.491 0.000
0.000 0.000 5.152
Tl Br Cl O
1 2 1 1
direct
0.000 0.000 0.000
0.000 0.500 0.000
0.500 0.000 0.000
0.000 0.000 0.500
0.500 0.500 0.500


- The lowest final energy belongs to which entry?
  TlBr2ClO